Density functional theory data (PBE) for an optimized crystal structure of MnAs2Au.

Summary:
Electronic total energy (eV/atom): -5.340
Calculated density (Mg/m³): 9.36
Excess energy over the best structure of this formula in the dataset (meV/atom): 51
Formation enthalpy at 0 K (eV per atom): 0.096

Lattice parameters (Å, degrees): 3.3875 2.7610 7.6217 89.89 90.00 90.00
With the nearest neighbours (Å) after each atom.
Sites, in units of the cell vectors:
As (0.0000, 0.2492, 0.9510)  4 Mn 2.67, 2 As 2.76, 2 Au 2.84
As (0.0000, 0.2508, 0.5490)  4 Mn 2.67, 2 As 2.76, 2 Au 2.84
Au (0.5000, 0.2500, 0.2500)  2 Au 2.76, 4 As 2.84
Mn (0.5000, 0.7500, 0.7500)  8 As 2.67, 2 Mn 2.76